Material: Li12Mg2Ag5
Method: DFT, PBE
State: relaxed

Output
energy above the lowest structure with this stoichiometry: 32 meV per atom
energy relative to the elements: -0.085 eV/atom
SG: C2/m (12)

abc: 4.8806 8.2473 9.3080
angles: 116.30 91.57 90.00
Positions (direct):
Li (0.1908, 0.0341, 0.4337)
Ag (0.0944, 0.3574, 0.7148)
Ag (0.3570, 0.7511, 0.5022)
Li (0.8092, 0.9659, 0.5663)
Li (0.9596, 0.9129, 0.8258)
Li (0.6065, 0.3271, 0.2399)
Li (0.4080, 0.5817, 0.1634)
Ag (0.5000, 0.0000, 0.0000)
Mg (0.0000, 0.6976, 0.0000)
Li (0.3935, 0.0872, 0.7601)
Li (0.6065, 0.9128, 0.2399)
Ag (0.9056, 0.6426, 0.2852)
Li (0.1908, 0.3996, 0.4337)
Li (0.8092, 0.6004, 0.5663)
Li (0.5920, 0.4183, 0.8366)
Li (0.0404, 0.0871, 0.1742)
Mg (0.0000, 0.3024, 0.0000)
Ag (0.6430, 0.2489, 0.4978)
Li (0.3935, 0.6729, 0.7601)

=====

Material: Li5Mg2Ag2
Method: DFT, PBE
State: relaxed

Output
energy above the lowest structure with this stoichiometry: 60 meV per atom
energy relative to the elements: -0.018 eV/atom
SG: Cmce (64)

abc: 6.2601 6.9910 8.9912
angles: 112.88 90.00 90.00
Positions (direct):
Mg (0.0000, 0.2285, 0.4570)
Mg (0.5000, 0.7285, 0.4570)
Ag (0.6312, 0.8467, 0.0000)
Ag (0.3688, 0.1533, 0.0000)
Li (0.5000, 0.5000, 0.0000)
Ag (0.1312, 0.6533, 0.0000)
Li (0.1686, 0.4474, 0.2401)
Li (0.6686, 0.0526, 0.7599)
Li (0.3314, 0.9474, 0.2401)
Li (0.0000, 0.0000, 0.0000)
Li (0.1686, 0.2073, 0.7599)
Ag (0.8688, 0.3467, 0.0000)
Li (0.8314, 0.5526, 0.7599)
Li (0.6686, 0.2927, 0.2401)
Mg (0.0000, 0.7715, 0.5430)
Li (0.3314, 0.7073, 0.7599)
Mg (0.5000, 0.2715, 0.5430)
Li (0.8314, 0.7927, 0.2401)

=====

Material: Li2MgAg
Method: DFT, PBE
State: relaxed

Output
energy relative to the elements: -0.147 eV/atom
SG: Pm (6)

abc: 3.4834 3.2445 7.2143
angles: 63.47 90.00 90.00
Positions (direct):
Li (0.0000, 0.0140, 0.9856)
Ag (0.5000, 0.7341, 0.7664)
Mg (0.0000, 0.4845, 0.5160)
Li (0.5000, 0.2674, 0.2320)